Below is a relaxed ZnIrNO crystal, with properties calculated at the PBE level.

SG	P4/nmm, No. 129
uncorrected energy	-5.015	eV/atom
ΔE to the lowest computed polymorph	1127.8	meV per atom

Unit cell a=3.509 b=3.509 c=7.093 alpha=90.00 beta=90.00 gamma=90.00
Positions (direct):
Zn  0.250  0.750  0.000
Zn  0.750  0.250  0.000
Ir  0.250  0.250  0.330
Ir  0.750  0.750  0.670
N  0.250  0.250  0.817
N  0.750  0.750  0.183
O  0.250  0.750  0.500
O  0.750  0.250  0.500